This record from Alexandria describes a geometry-optimized Sm3ZnGa structure. The functional is GGA-PBE.

- Energy above the lowest structure with this stoichiometry: 12.5 meV per atom
- Calculated formation energy: -0.33 eV per atom
- Magnetic moment: 0.00 μB per formula unit

a b c (Å): 6.576 9.510 9.560
angles (deg): 62.15 84.15 83.86
Positions (direct):
1 Sm 0.010 0.140 0.160
2 Sm 0.013 0.740 0.240
3 Sm 0.038 0.655 0.632
4 Sm 0.462 0.344 0.869
5 Sm 0.487 0.260 0.260
6 Sm 0.489 0.860 0.340
7 Sm 0.511 0.140 0.660
8 Sm 0.513 0.740 0.740
9 Sm 0.538 0.656 0.131
10 Sm 0.962 0.345 0.368
11 Sm 0.987 0.260 0.760
12 Sm 0.990 0.860 0.840
13 Zn 0.182 0.518 0.028
14 Zn 0.318 0.482 0.472
15 Zn 0.682 0.518 0.528
16 Zn 0.818 0.482 0.972
17 Ga 0.199 0.014 0.509
18 Ga 0.301 0.986 0.991
19 Ga 0.699 0.014 0.009
20 Ga 0.801 0.986 0.491